The following is a DFT calculation (PBE) of a relaxed ZrSb2Pb crystal.

The space group is Immm (71). Its density is 8.76 g/cm³. The total moment comes out at 0.000 μB/atom. Its energy is -5.15 eV per atom. As for the crystal system: orthorhombic. For the uncorrected formation energy, the calculation gives -27 meV/atom.

abc: 5.770 5.770 5.770
angles: 138.42 124.68 71.52
Atoms (fractional coordinates):
Pb 0.750 0.250 0.500
Sb 0.998 0.998 0.000
Sb 0.502 0.502 0.000
Zr 0.250 0.750 0.500

***

The following is a DFT calculation (PBE) of a relaxed ZrSbPb2 crystal.

The space group is Imm2 (44). Its density is 9.69 g/cm³. The total moment comes out at 0.000 μB/atom. Its energy is -5.03 eV per atom. As for the crystal system: orthorhombic. For the uncorrected formation energy, the calculation gives -13 meV/atom.

abc: 6.246 6.246 6.246
angles: 143.78 130.98 62.45
Atoms (fractional coordinates):
Pb 0.009 0.009 0.000
Pb 0.744 0.244 0.500
Sb 0.479 0.479 0.000
Zr 0.268 0.768 0.500

***

The following is a DFT calculation (PBE) of a relaxed Zr3SbPb crystal.

The space group is Pm-3m (221). Its density is 6.49 g/cm³. As for the excess energy over the best structure of this formula in the dataset: 934.0 meV/atom. The total moment comes out at 0.000 μB/atom. Its energy is -5.75 eV per atom. As for the crystal system: cubic. For the uncorrected formation energy, the calculation gives 943 meV/atom.

abc: 5.362 5.362 5.362
angles: 90.00 90.00 90.00
Atoms (fractional coordinates):
Pb 0.000 0.000 0.000
Sb 0.500 0.500 0.500
Zr 0.000 0.500 0.000
Zr 0.000 0.000 0.500
Zr 0.500 0.000 0.000

***

The following is a DFT calculation (PBE) of a relaxed ZrSb2Pb crystal.

The space group is P4/mmm (123). Its density is 8.51 g/cm³. The total moment comes out at 0.000 μB/atom. Its energy is -5.38 eV per atom. As for the crystal system: tetragonal. For the uncorrected formation energy, the calculation gives -258 meV/atom.

abc: 3.785 3.782 7.383
angles: 90.00 90.00 90.00
Atoms (fractional coordinates):
Pb 0.500 0.500 0.750
Sb 0.000 0.000 0.045
Sb 0.000 0.000 0.455
Zr 0.500 0.500 0.250